# 1
Entry from Alexandria via LeMat-Bulk: an optimized crystal structure of Ca2YZn (PBE).

Formation enthalpy at 0 K = 0.0862 eV/atom
Magnetization = 0.00 Bohr magnetons per cell
Space-group type = F222 (22)
Calculated total energy = -2.849 eV/atom
Density of states at the Fermi level = 4.97 states/eV/cell

Cell: 5.5221 5.5175 5.4853 Å, 60.25 60.17 59.59°
Element x y z (fractional)
Ca 0.0000 0.0000 0.0000
Ca 0.2500 0.2500 0.2500
Y 0.5000 0.5000 0.5000
Zn 0.7500 0.7500 0.7500

# 2
Entry from Alexandria via LeMat-Bulk: an optimized crystal structure of CaY2Zn6 (PBE).

Formation enthalpy at 0 K = -0.3498 eV/atom
Magnetization = 0.00 Bohr magnetons per cell
Space-group type = P6/mmm (191)
Calculated total energy = -2.858 eV/atom
Density of states at the Fermi level = 6.34 states/eV/cell

Cell: 7.7975 7.7975 3.5341 Å, 90.00 90.00 120.00°
Element x y z (fractional)
Ca 0.0000 0.0000 0.0000
Y 0.3333 0.6667 0.0000
Y 0.6667 0.3333 0.0000
Zn 0.0000 0.3344 0.5000
Zn 0.0000 0.6656 0.5000
Zn 0.3344 0.0000 0.5000
Zn 0.3344 0.3344 0.5000
Zn 0.6656 0.0000 0.5000
Zn 0.6656 0.6656 0.5000

# 3
Entry from Alexandria via LeMat-Bulk: an optimized crystal structure of CaYZn (PBE).

Formation enthalpy at 0 K = -0.1749 eV/atom
Magnetization = 0.10 Bohr magnetons per cell
Space-group type = I4mm (107)
Calculated total energy = -3.421 eV/atom
Density of states at the Fermi level = 3.10 states/eV/cell

Cell: 6.9221 6.9221 6.9221 Å, 149.56 149.56 43.59°
Element x y z (fractional)
Ca 0.0000 0.0000 0.0000
Y 0.7254 0.7254 0.0000
Zn 0.3502 0.3502 0.0000

# 4
Entry from Alexandria via LeMat-Bulk: an optimized crystal structure of CaY3Zn (PBE).

Formation enthalpy at 0 K = 0.1286 eV/atom
Magnetization = 1.12 Bohr magnetons per cell
Space-group type = Pm-3m (221)
Calculated total energy = -4.405 eV/atom
Density of states at the Fermi level = 5.97 states/eV/cell

Cell: 5.5629 5.5629 5.5629 Å, 90.00 90.00 90.00°
Element x y z (fractional)
Ca 0.0000 0.0000 0.0000
Y 0.0000 0.5000 0.5000
Y 0.5000 0.0000 0.5000
Y 0.5000 0.5000 0.0000
Zn 0.5000 0.5000 0.5000

# 5
Entry from Alexandria via LeMat-Bulk: an optimized crystal structure of CaYZn (PBE).

Formation enthalpy at 0 K = -0.0243 eV/atom
Magnetization = 0.00 Bohr magnetons per cell
Space-group type = P3m1 (156)
Calculated total energy = -3.271 eV/atom
Density of states at the Fermi level = 3.33 states/eV/cell

Cell: 3.7099 3.7099 7.5661 Å, 90.00 90.00 120.00°
Element x y z (fractional)
Ca 0.0000 0.0000 0.0000
Y 0.6667 0.3333 0.4221
Zn 0.3333 0.6667 0.7015

# 6
Entry from Alexandria via LeMat-Bulk: an optimized crystal structure of CaY2Zn9 (PBE).

Formation enthalpy at 0 K = -0.2906 eV/atom
Magnetization = 0.00 Bohr magnetons per cell
Space-group type = R-3m (166)
Calculated total energy = -2.490 eV/atom
Density of states at the Fermi level = 7.50 states/eV/cell

Cell: 9.1174 9.1174 9.1174 Å, 35.13 35.13 35.13°
Element x y z (fractional)
Ca 0.0000 0.0000 0.0000
Y 0.1416 0.1416 0.1416
Y 0.8584 0.8584 0.8584
Zn 0.0761 0.5867 0.5867
Zn 0.3353 0.3353 0.3353
Zn 0.4133 0.4133 0.9239
Zn 0.4133 0.9239 0.4133
Zn 0.5000 0.5000 0.5000
Zn 0.5867 0.0761 0.5867
Zn 0.5867 0.5867 0.0761
Zn 0.6647 0.6647 0.6647
Zn 0.9239 0.4133 0.4133

# 7
Entry from Alexandria via LeMat-Bulk: an optimized crystal structure of Ca2YZn (PBE).

Formation enthalpy at 0 K = 0.1064 eV/atom
Magnetization = 0.00 Bohr magnetons per cell
Space-group type = Cmmm (65)
Calculated total energy = -2.829 eV/atom
Density of states at the Fermi level = 5.70 states/eV/cell

Cell: 6.0356 6.0356 3.6519 Å, 90.00 90.00 110.03°
Element x y z (fractional)
Ca 0.0000 0.5000 0.0000
Ca 0.5000 0.0000 0.0000
Y 0.0000 0.0000 0.5000
Zn 0.5000 0.5000 0.5000

# 8
Entry from Alexandria via LeMat-Bulk: an optimized crystal structure of Ca5YZn6 (PBE).

Formation enthalpy at 0 K = -0.2611 eV/atom
Magnetization = 0.00 Bohr magnetons per cell
Space-group type = Cmmm (65)
Calculated total energy = -2.271 eV/atom
Density of states at the Fermi level = 7.50 states/eV/cell

Cell: 8.1492 8.1492 7.3448 Å, 90.00 90.00 143.01°
Element x y z (fractional)
Ca 0.0000 0.0000 0.0000
Ca 0.3322 0.6678 0.5000
Ca 0.3331 0.6669 0.0000
Ca 0.6669 0.3331 0.0000
Ca 0.6678 0.3322 0.5000
Y 0.0000 0.0000 0.5000
Zn 0.1627 0.8373 0.2558
Zn 0.1627 0.8373 0.7442
Zn 0.5000 0.5000 0.2632
Zn 0.5000 0.5000 0.7368
Zn 0.8373 0.1627 0.2558
Zn 0.8373 0.1627 0.7442

# 9
Entry from Alexandria via LeMat-Bulk: an optimized crystal structure of CaY2Zn (PBE).

Formation enthalpy at 0 K = -0.0222 eV/atom
Magnetization = 0.34 Bohr magnetons per cell
Space-group type = R3m (160)
Calculated total energy = -4.073 eV/atom
Density of states at the Fermi level = 5.67 states/eV/cell

Cell: 10.7098 10.7098 10.7098 Å, 19.89 19.89 19.89°
Element x y z (fractional)
Ca 0.0000 0.0000 0.0000
Y 0.2340 0.2340 0.2340
Y 0.4337 0.4337 0.4337
Zn 0.8341 0.8341 0.8341

# 10
Entry from Alexandria via LeMat-Bulk: an optimized crystal structure of CaY2Zn (PBE).

Formation enthalpy at 0 K = 0.1036 eV/atom
Magnetization = 0.00 Bohr magnetons per cell
Space-group type = I-42d (122)
Calculated total energy = -3.947 eV/atom
Density of states at the Fermi level = 4.26 states/eV/cell

Cell: 6.9481 6.9481 6.9481 Å, 102.57 102.57 124.39°
Element x y z (fractional)
Ca 0.0000 0.0000 0.0000
Ca 0.7500 0.2500 0.5000
Y 0.1828 0.6250 0.0578
Y 0.3750 0.4328 0.5578
Y 0.5672 0.1250 0.9422
Y 0.8750 0.8172 0.4422
Zn 0.2500 0.7500 0.5000
Zn 0.5000 0.5000 0.0000

# 11
Entry from Alexandria via LeMat-Bulk: an optimized crystal structure of CaYZn2 (PBE).

Formation enthalpy at 0 K = 0.0814 eV/atom
Magnetization = 0.00 Bohr magnetons per cell
Space-group type = I-42d (122)
Calculated total energy = -2.672 eV/atom
Density of states at the Fermi level = 11.18 states/eV/cell

Cell: 6.6058 6.6058 6.6058 Å, 106.77 106.77 115.02°
Element x y z (fractional)
Ca 0.0000 0.0000 0.0000
Ca 0.7500 0.2500 0.5000
Y 0.2500 0.7500 0.5000
Y 0.5000 0.5000 0.0000
Zn 0.1340 0.6250 0.0090
Zn 0.3750 0.3840 0.5090
Zn 0.6160 0.1250 0.9910
Zn 0.8750 0.8660 0.4910

# 12
Entry from Alexandria via LeMat-Bulk: an optimized crystal structure of CaYZn3 (PBE).

Formation enthalpy at 0 K = 0.4446 eV/atom
Magnetization = 0.00 Bohr magnetons per cell
Space-group type = Pm-3m (221)
Calculated total energy = -2.013 eV/atom
Density of states at the Fermi level = 5.72 states/eV/cell

Cell: 5.4081 5.4081 5.4081 Å, 90.00 90.00 90.00°
Element x y z (fractional)
Ca 0.0000 0.0000 0.0000
Y 0.5000 0.5000 0.5000
Zn 0.0000 0.5000 0.5000
Zn 0.5000 0.0000 0.5000
Zn 0.5000 0.5000 0.0000

# 13
Entry from Alexandria via LeMat-Bulk: an optimized crystal structure of CaYZn (PBE).

Formation enthalpy at 0 K = 0.0325 eV/atom
Magnetization = 0.00 Bohr magnetons per cell
Space-group type = F-43m (216)
Calculated total energy = -3.214 eV/atom
Density of states at the Fermi level = 3.86 states/eV/cell

Cell: 5.0489 5.0489 5.0489 Å, 60.00 60.00 60.00°
Element x y z (fractional)
Ca 0.0000 0.0000 0.0000
Y 0.5000 0.5000 0.5000
Zn 0.7500 0.7500 0.7500

# 14
Entry from Alexandria via LeMat-Bulk: an optimized crystal structure of CaYZn2 (PBE).

Formation enthalpy at 0 K = -0.2997 eV/atom
Magnetization = 0.00 Bohr magnetons per cell
Space-group type = Fm-3m (225)
Calculated total energy = -3.053 eV/atom
Density of states at the Fermi level = 3.50 states/eV/cell

Cell: 5.1128 5.1128 5.1128 Å, 60.00 60.00 60.00°
Element x y z (fractional)
Ca 0.0000 0.0000 0.0000
Y 0.5000 0.5000 0.5000
Zn 0.2500 0.2500 0.2500
Zn 0.7500 0.7500 0.7500

# 15
Entry from Alexandria via LeMat-Bulk: an optimized crystal structure of CaY2Zn (PBE).

Formation enthalpy at 0 K = 0.0826 eV/atom
Magnetization = 0.00 Bohr magnetons per cell
Space-group type = I-4m2 (119)
Calculated total energy = -3.968 eV/atom
Density of states at the Fermi level = 4.25 states/eV/cell

Cell: 5.9902 5.9902 5.9902 Å, 132.97 132.97 68.70°
Element x y z (fractional)
Ca 0.0000 0.0000 0.0000
Y 0.2500 0.7500 0.5000
Y 0.5000 0.5000 0.0000
Zn 0.7500 0.2500 0.5000

# 16
Entry from Alexandria via LeMat-Bulk: an optimized crystal structure of Ca2YZn6 (PBE).

Formation enthalpy at 0 K = -0.3069 eV/atom
Magnetization = 0.00 Bohr magnetons per cell
Space-group type = P6/mmm (191)
Calculated total energy = -2.319 eV/atom
Density of states at the Fermi level = 5.98 states/eV/cell

Cell: 7.7727 7.7727 3.6694 Å, 90.00 90.00 120.00°
Element x y z (fractional)
Ca 0.3333 0.6667 0.0000
Ca 0.6667 0.3333 0.0000
Y 0.0000 0.0000 0.0000
Zn 0.0000 0.3324 0.5000
Zn 0.0000 0.6676 0.5000
Zn 0.3324 0.0000 0.5000
Zn 0.3324 0.3324 0.5000
Zn 0.6676 0.0000 0.5000
Zn 0.6676 0.6676 0.5000

# 17
Entry from Alexandria via LeMat-Bulk: an optimized crystal structure of Ca2YZn (PBE).

Formation enthalpy at 0 K = 0.0985 eV/atom
Magnetization = 0.00 Bohr magnetons per cell
Space-group type = I4/mmm (139)
Calculated total energy = -2.837 eV/atom
Density of states at the Fermi level = 5.32 states/eV/cell

Cell: 6.2867 6.2867 6.2867 Å, 135.48 135.48 64.79°
Element x y z (fractional)
Ca 0.2500 0.7500 0.5000
Ca 0.7500 0.2500 0.5000
Y 0.0000 0.0000 0.0000
Zn 0.5000 0.5000 0.0000

# 18
Entry from Alexandria via LeMat-Bulk: an optimized crystal structure of CaYZn2 (PBE).

Formation enthalpy at 0 K = -0.0921 eV/atom
Magnetization = 0.00 Bohr magnetons per cell
Space-group type = R-3m (166)
Calculated total energy = -2.846 eV/atom
Density of states at the Fermi level = 3.46 states/eV/cell

Cell: 8.7492 8.7492 8.7492 Å, 25.26 25.26 25.26°
Element x y z (fractional)
Ca 0.0000 0.0000 0.0000
Y 0.5000 0.5000 0.5000
Zn 0.2467 0.2467 0.2467
Zn 0.7533 0.7533 0.7533

# 19
Entry from Alexandria via LeMat-Bulk: an optimized crystal structure of Ca2YZn (PBE).

Formation enthalpy at 0 K = -0.0388 eV/atom
Magnetization = 0.00 Bohr magnetons per cell
Space-group type = Imm2 (44)
Calculated total energy = -2.974 eV/atom
Density of states at the Fermi level = 5.30 states/eV/cell

Cell: 6.8182 6.8182 6.8182 Å, 148.24 130.69 59.86°
Element x y z (fractional)
Ca 0.0000 0.0000 0.0000
Ca 0.7046 0.2046 0.5000
Y 0.4052 0.4052 0.0000
Zn 0.2114 0.7114 0.5000

# 20
Entry from Alexandria via LeMat-Bulk: an optimized crystal structure of CaYZn2 (PBE).

Formation enthalpy at 0 K = -0.0856 eV/atom
Magnetization = 0.00 Bohr magnetons per cell
Space-group type = C2/m (12)
Calculated total energy = -2.839 eV/atom
Density of states at the Fermi level = 3.06 states/eV/cell

Cell: 4.8465 4.8465 6.5890 Å, 103.38 103.38 45.97°
Element x y z (fractional)
Ca 0.0000 0.0000 0.0000
Y 0.5000 0.5000 0.5000
Zn 0.2474 0.2474 0.7178
Zn 0.7526 0.7526 0.2822